Computed, not measured: a relaxed BAuS2 crystal at the PBE level of DFT.

Values from the calculation:
Size of the total moment = 0.000 μB/atom
Formation energy without anion corrections = -0.28 eV/atom

Lattice parameters (Å, degrees): 7.0651 11.5981 5.2519 90.00 112.03 90.00
Space group C2/c (No. 15)
Asymmetric unit:
B (0.0000, 0.0003, 0.2500) (multiplicity 4)
Au (0.0000, 0.4338, 0.2500) (multiplicity 4)
S (0.1458, 0.0904, 0.5741) (multiplicity 8)